## KInHgAu2 (GGA-PBE)

Data for crystalline KInHgAu2 at its relaxed geometry.

Properties
Uncorrected energy ... -0.0866 Ha/atom
Excess energy over the best structure of this formula in the dataset ... 0 meV/atom

abc: 4.6745 4.1903 7.3979
angles: 106.45 108.42 90.00
Closest atoms and distances in Å follow each position.
Positions (direct):
Hg: 0.8387 0.8387 0.6773  3 Au 2.81-2.99, 2 In 3.06
In: 0.1917 0.6917 0.3834  6 Au 2.84-3.14, 2 Hg 3.06
K: 0.4536 0.4536 0.9071  6 Au 3.39-3.68, 4 Hg 3.50
Au: 0.6794 0.1794 0.3589  2 Au 2.92, 2 Hg 2.99, 4 In 3.14
Au: 0.0488 0.0488 0.0975  1 Hg 2.81, 2 In 2.84, 2 Au 2.92